1.
# Ce3AlCo PBE relaxed
data_Ce3AlCo
_cell_length_a 5.0955
_cell_length_b 5.0955
_cell_length_c 5.0955
_cell_angle_alpha 90.00
_cell_angle_beta 90.00
_cell_angle_gamma 90.00
_space_group_name_H-M_alt 'P m -3 m'
_space_group_IT_number 221
_space_group_name_Hall '-P 4 2 3'
loop_
_atom_site_label
_atom_site_type_symbol
_atom_site_fract_x
_atom_site_fract_y
_atom_site_fract_z
Ce1 Ce 0.0000 0.0000 0.5000
Al1 Al 0.5000 0.5000 0.5000
Co1 Co 0.0000 0.0000 0.0000
# - formation energy from the elements (meV/atom) = -81
# - crystal system = cubic

***

2.
# Pu2BiO2 PBE relaxed
data_Pu2BiO2
_cell_length_a 3.9592
_cell_length_b 3.9592
_cell_length_c 13.0682
_cell_angle_alpha 90.00
_cell_angle_beta 90.00
_cell_angle_gamma 90.00
_space_group_name_H-M_alt 'I 4/m m m'
_space_group_IT_number 139
_space_group_name_Hall '-I 4 2'
loop_
_atom_site_label
_atom_site_type_symbol
_atom_site_fract_x
_atom_site_fract_y
_atom_site_fract_z
Pu1 Pu 0.0000 0.0000 0.1615
Bi1 Bi 0.0000 0.0000 0.5000
O1 O 0.0000 0.5000 0.2500
# - crystal system = tetragonal
# - energy relative to the elements, uncorrected (kJ/mol of atoms) = -217

***

3.
# KSbSeI2 PBE relaxed
data_KSbSeI2
_cell_length_a 6.1615
_cell_length_b 6.1615
_cell_length_c 5.5456
_cell_angle_alpha 90.00
_cell_angle_beta 90.00
_cell_angle_gamma 90.00
_space_group_name_H-M_alt 'P 4/m m m'
_space_group_IT_number 123
_space_group_name_Hall '-P 4 2'
loop_
_atom_site_label
_atom_site_type_symbol
_atom_site_fract_x
_atom_site_fract_y
_atom_site_fract_z
K1 K 0.0000 0.0000 0.0000
Sb1 Sb 0.5000 0.5000 0.0000
Se1 Se 0.5000 0.5000 0.5000
I1 I 0.0000 0.5000 0.5000
# - crystal system = tetragonal
# - energy relative to the elements, uncorrected (kJ/mol of atoms) = -17

***

4.
# ErNbBrO4 PBE relaxed
data_ErNbBrO4
_cell_length_a 12.4440
_cell_length_b 6.3913
_cell_length_c 6.9354
_cell_angle_alpha 90.00
_cell_angle_beta 104.90
_cell_angle_gamma 90.00
_space_group_name_H-M_alt 'C 1 2/m 1'
_space_group_IT_number 12
_space_group_name_Hall '-C 2y'
loop_
_atom_site_label
_atom_site_type_symbol
_atom_site_fract_x
_atom_site_fract_y
_atom_site_fract_z
Er1 Er 0.2085 0.0000 0.3470
Nb1 Nb 0.1252 0.0000 0.7540
Br1 Br 0.0151 0.5000 0.1708
O1 O 0.0283 0.0000 0.2966
O2 O 0.1822 0.2211 0.6229
O3 O 0.1877 0.0000 0.0259
# - crystal system = monoclinic
# - energy relative to the elements, uncorrected (kJ/mol of atoms) = -244

***

5.
# K4BSe4 PBE relaxed
data_K4BSe4
_cell_length_a 9.6455
_cell_length_b 9.6455
_cell_length_c 6.4331
_cell_angle_alpha 90.00
_cell_angle_beta 90.00
_cell_angle_gamma 90.00
_space_group_name_H-M_alt 'I 4/m'
_space_group_IT_number 87
_space_group_name_Hall '-I 4'
loop_
_atom_site_label
_atom_site_type_symbol
_atom_site_fract_x
_atom_site_fract_y
_atom_site_fract_z
K1 K 0.0791 0.2926 0.0000
B1 B 0.0000 0.0000 0.5000
Se1 Se 0.0697 0.2163 0.5000
# - crystal system = tetragonal
# - energy relative to the elements, uncorrected (kJ/mol of atoms) = -49

***

6.
# TmHfCuAu PBE relaxed
data_TmHfCuAu
_cell_length_a 6.8262
_cell_length_b 6.8262
_cell_length_c 6.8262
_cell_angle_alpha 90.00
_cell_angle_beta 90.00
_cell_angle_gamma 90.00
_space_group_name_H-M_alt 'F -4 3 m'
_space_group_IT_number 216
_space_group_name_Hall 'F -4 2 3'
loop_
_atom_site_label
_atom_site_type_symbol
_atom_site_fract_x
_atom_site_fract_y
_atom_site_fract_z
Tm1 Tm 0.0000 0.0000 0.0000
Hf1 Hf 0.0000 0.0000 0.5000
Cu1 Cu 0.2500 0.2500 0.7500
Au1 Au 0.2500 0.2500 0.2500
# - formation energy from the elements (meV/atom) = -350
# - crystal system = cubic

***

7.
# DyAlPd PBE relaxed
data_DyAlPd
_cell_length_a 4.4327
_cell_length_b 4.4327
_cell_length_c 3.6734
_cell_angle_alpha 90.00
_cell_angle_beta 90.00
_cell_angle_gamma 120.00
_space_group_name_H-M_alt 'P -6 m 2'
_space_group_IT_number 187
_space_group_name_Hall 'P -6 2'
loop_
_atom_site_label
_atom_site_type_symbol
_atom_site_fract_x
_atom_site_fract_y
_atom_site_fract_z
Dy1 Dy 0.0000 0.0000 0.0000
Al1 Al 0.6667 0.3333 0.5000
Pd1 Pd 0.3333 0.6667 0.5000
# - formation energy from the elements (meV/atom) = -778
# - crystal system = hexagonal

***

8.
# Pr3Se2Br2 PBE relaxed
data_Pr3Se2Br2
_cell_length_a 4.1842
_cell_length_b 7.3103
_cell_length_c 7.6011
_cell_angle_alpha 79.09
_cell_angle_beta 90.00
_cell_angle_gamma 73.39
_space_group_name_H-M_alt 'P -1'
_space_group_IT_number 2
_space_group_name_Hall '-P 1'
loop_
_atom_site_label
_atom_site_type_symbol
_atom_site_fract_x
_atom_site_fract_y
_atom_site_fract_z
Pr1 Pr 0.0000 0.0000 0.0000
Pr2 Pr 0.2492 0.5033 0.7904
Se1 Se 0.3872 0.2247 0.1485
Br1 Br 0.1324 0.7345 0.3787
# - crystal system = triclinic
# - energy relative to the elements, uncorrected (kJ/mol of atoms) = -167

***

9.
# HfTl3Ag2Te6 PBE relaxed
data_HfTl3Ag2Te6
_cell_length_a 7.5797
_cell_length_b 13.0314
_cell_length_c 7.8195
_cell_angle_alpha 90.00
_cell_angle_beta 108.20
_cell_angle_gamma 90.00
_space_group_name_H-M_alt 'C 1 2/m 1'
_space_group_IT_number 12
_space_group_name_Hall '-C 2y'
loop_
_atom_site_label
_atom_site_type_symbol
_atom_site_fract_x
_atom_site_fract_y
_atom_site_fract_z
Hf1 Hf 0.0000 0.0000 0.0000
Tl1 Tl 0.0000 0.1582 0.5000
Tl2 Tl 0.0000 0.5000 0.5000
Ag1 Ag 0.0000 0.3300 0.0000
Te1 Te 0.2309 0.1631 0.2131
Te2 Te 0.2409 0.5000 0.2048
# - crystal system = monoclinic
# - energy relative to the elements, uncorrected (kJ/mol of atoms) = -27

***

10.
# ScCdSe4 PBE relaxed
data_ScCdSe4
_cell_length_a 8.1675
_cell_length_b 8.1675
_cell_length_c 8.1675
_cell_angle_alpha 90.00
_cell_angle_beta 90.00
_cell_angle_gamma 90.00
_space_group_name_H-M_alt 'F -4 3 m'
_space_group_IT_number 216
_space_group_name_Hall 'F -4 2 3'
loop_
_atom_site_label
_atom_site_type_symbol
_atom_site_fract_x
_atom_site_fract_y
_atom_site_fract_z
Sc1 Sc 0.0000 0.0000 0.0000
Cd1 Cd 0.2500 0.2500 0.2500
Se1 Se 0.1251 0.1251 0.6251
# - crystal system = cubic
# - energy relative to the elements, uncorrected (kJ/mol of atoms) = 13

***

11.
# Sm3RhBr3 PBE relaxed
data_Sm3RhBr3
_cell_length_a 8.8851
_cell_length_b 4.0688
_cell_length_c 12.1076
_cell_angle_alpha 90.00
_cell_angle_beta 91.82
_cell_angle_gamma 90.00
_space_group_name_H-M_alt 'P 1 21/m 1'
_space_group_IT_number 11
_space_group_name_Hall '-P 2yb'
loop_
_atom_site_label
_atom_site_type_symbol
_atom_site_fract_x
_atom_site_fract_y
_atom_site_fract_z
Sm1 Sm 0.1133 0.2500 0.3418
Sm2 Sm 0.1204 0.2500 0.8733
Sm3 Sm 0.3055 0.7500 0.1150
Rh1 Rh 0.0917 0.2500 0.1123
Br1 Br 0.1296 0.2500 0.6067
Br2 Br 0.3588 0.7500 0.3645
Br3 Br 0.4066 0.7500 0.8711
# - crystal system = monoclinic
# - energy relative to the elements, uncorrected (kJ/mol of atoms) = -130

***

12.
# Ce8Bi4SbTe3 PBE relaxed
data_Ce8Bi4SbTe3
_cell_length_a 15.7041
_cell_length_b 9.1039
_cell_length_c 9.1086
_cell_angle_alpha 90.00
_cell_angle_beta 124.94
_cell_angle_gamma 90.00
_space_group_name_H-M_alt 'C 1 2/m 1'
_space_group_IT_number 12
_space_group_name_Hall '-C 2y'
loop_
_atom_site_label
_atom_site_type_symbol
_atom_site_fract_x
_atom_site_fract_y
_atom_site_fract_z
Ce1 Ce 0.0011 0.2485 0.2475
Ce2 Ce 0.2475 0.0000 0.2493
Ce3 Ce 0.2489 0.5000 0.2510
Bi1 Bi 0.0000 0.0000 0.5000
Bi2 Bi 0.0000 0.5000 0.5000
Bi3 Bi 0.2500 0.2500 0.0000
Sb1 Sb 0.0000 0.0000 0.0000
Te1 Te 0.0000 0.5000 0.0000
Te2 Te 0.2500 0.2500 0.5000
# - crystal system = monoclinic
# - energy relative to the elements, uncorrected (kJ/mol of atoms) = -100